<1>
Below is a relaxed structure of RbCa3Bi, with properties calculated at the PBE level.

```
RbCa3Bi
1.0
-0.754 -6.035 -1.604
4.212 -1.685 4.357
-4.610 -0.552 4.243
Ca Rb Bi
3 1 1
Direct
0.500 0.000 0.000
0.000 0.500 0.000
0.000 0.000 0.500
0.500 0.500 0.500
0.000 0.000 0.000
```

* space-group type: Pm-3m
* crystal system: cubic

---

<2>
Below is a relaxed structure of RbCa3Bi, with properties calculated at the PBE level.

```
RbCa3Bi
1.0
-1.447 -0.152 5.848
4.886 -3.345 1.122
3.217 5.011 0.927
Ca Rb Bi
3 1 1
Direct
0.500 0.000 0.000
0.000 0.500 0.000
0.000 0.000 0.500
0.000 0.000 0.000
0.500 0.500 0.500
```

* space-group type: Pm-3m
* crystal system: cubic

---

How far above the most stable structure does each one sit? In eV/atom: <1> 0.000; <2> 1.057.